Rb2NpO4 | PBE | optimized geometry

Summary:
The total magnetization is 0.14 μB per atom. For the calculated total energy, the calculation gives -7.4209 eV/atom. The calculation puts the density of states at the Fermi level at 4.44 states/eV per cell.

abc: 4.3609 4.3609 14.1518
angles: 90.00 90.00 90.00
Space group I4/mmm (No. 139)
One atom of each set of equivalent atoms:
1 Rb 0.0000 0.0000 0.1525 (multiplicity 4)
2 Np 0.0000 0.0000 0.5000 (multiplicity 2)
3 O 0.0000 0.0000 0.3635 (multiplicity 4)
4 O 0.0000 0.5000 0.0000 (multiplicity 4)

---

Rb2NpO5 | PBE | optimized geometry

Summary:
The calculation puts the distance to the lowest polymorph of the same formula at 0 meV per atom. The total magnetization is 0.12 μB per atom. For the calculated total energy, the calculation gives -7.0665 eV/atom. The calculation puts the density of states at the Fermi level at 5.87 states/eV per cell.

abc: 6.4528 6.4528 4.3375
angles: 90.00 90.00 90.00
Space group P4/mmm (No. 123)
One atom of each set of equivalent atoms:
1 Rb 0.0000 0.5000 0.0000 (multiplicity 2)
2 Np 0.0000 0.0000 0.5000 (multiplicity 1)
3 O 0.0000 0.0000 0.0000 (multiplicity 1)
4 O 0.2094 0.2094 0.5000 (multiplicity 4)

---

Rb2Np2O7 | PBE | optimized geometry

Summary:
The total magnetization is 0.18 μB per atom. For the calculated total energy, the calculation gives -8.2704 eV/atom. The calculation puts the density of states at the Fermi level at 15.71 states/eV per cell.

abc: 7.4721 13.6508 4.3398
angles: 90.00 106.82 90.00
Space group C2/m (No. 12)
One atom of each set of equivalent atoms:
1 Rb 0.0000 0.1998 0.0000 (multiplicity 4)
2 Np 0.1997 0.5000 0.3484 (multiplicity 4)
3 O 0.0000 0.0000 0.5000 (multiplicity 2)
4 O 0.1209 0.5000 0.8096 (multiplicity 4)
5 O 0.2072 0.3636 0.3491 (multiplicity 8)

---

Rb3Np2O6 | PBE | optimized geometry

Summary:
The total magnetization is 0.45 μB per atom. For the calculated total energy, the calculation gives -7.6791 eV/atom. The calculation puts the density of states at the Fermi level at 20.02 states/eV per cell.

abc: 4.3319 4.3319 23.6026
angles: 90.00 90.00 90.00
Space group I4/mmm (No. 139)
One atom of each set of equivalent atoms:
1 Rb 0.0000 0.0000 0.0000 (multiplicity 2)
2 Rb 0.0000 0.0000 0.1931 (multiplicity 4)
3 Np 0.0000 0.0000 0.4011 (multiplicity 4)
4 O 0.0000 0.0000 0.3174 (multiplicity 4)
5 O 0.0000 0.5000 0.0897 (multiplicity 8)

---

Rb2Np3O10 | PBE | optimized geometry

Summary:
The total magnetization is 0.20 μB per atom. For the calculated total energy, the calculation gives -8.6374 eV/atom. The calculation puts the density of states at the Fermi level at 36.81 states/eV per cell.

abc: 19.8036 6.7958 8.5581
angles: 90.00 112.69 90.00
Space group C2/m (No. 12)
One atom of each set of equivalent atoms:
1 Rb 0.1097 0.0000 0.2181 (multiplicity 4)
2 Rb 0.2039 0.0000 0.8218 (multiplicity 4)
3 Np 0.0000 0.2483 0.5000 (multiplicity 4)
4 Np 0.0796 0.5000 0.9729 (multiplicity 4)
5 Np 0.1835 0.5000 0.5082 (multiplicity 4)
6 O 0.0000 0.3106 0.0000 (multiplicity 4)
7 O 0.0220 0.0000 0.6610 (multiplicity 4)
8 O 0.0241 0.5000 0.6733 (multiplicity 4)
9 O 0.1019 0.2580 0.5136 (multiplicity 8)
10 O 0.1372 0.5000 0.2666 (multiplicity 4)
11 O 0.1417 0.2918 0.9737 (multiplicity 8)
12 O 0.2258 0.5000 0.7398 (multiplicity 4)
13 O 0.2500 0.2500 0.5000 (multiplicity 4)

---

Rb3NpO9 | PBE | optimized geometry

Summary:
The calculation puts the distance to the lowest polymorph of the same formula at 41 meV per atom. The total magnetization is 0.31 μB per atom. For the calculated total energy, the calculation gives -6.0327 eV/atom. The calculation puts the density of states at the Fermi level at 0.43 states/eV per cell.

abc: 12.0560 11.4143 7.5892
angles: 90.00 90.43 90.00
Space group C2/c (No. 15)
One atom of each set of equivalent atoms:
1 Rb 0.0000 0.0323 0.2500 (multiplicity 4)
2 Rb 0.1586 0.4055 0.4580 (multiplicity 8)
3 Np 0.2500 0.2500 0.0000 (multiplicity 4)
4 O 0.0000 0.4507 0.7500 (multiplicity 4)
5 O 0.0177 0.2025 0.5419 (multiplicity 8)
6 O 0.0515 0.2878 0.9276 (multiplicity 8)
7 O 0.2035 0.1915 0.2204 (multiplicity 8)
8 O 0.2275 0.1011 0.8963 (multiplicity 8)

---

Rb4NpO6 | PBE | optimized geometry

Summary:
The total magnetization is 0.10 μB per atom. For the calculated total energy, the calculation gives -6.1828 eV/atom. The calculation puts the density of states at the Fermi level at 65.03 states/eV per cell.

abc: 10.9267 10.9267 13.9893
angles: 90.00 90.00 120.00
Space group R-3c (No. 167, hexagonal axes)
One atom of each set of equivalent atoms:
1 Rb 0.0000 0.0000 0.2500 (multiplicity 6)
2 Rb 0.0000 0.3555 0.2500 (multiplicity 18)
3 Np 0.0000 0.0000 0.0000 (multiplicity 6)
4 O 0.0156 0.1555 0.4152 (multiplicity 36)

---

RbNp2O6 | PBE | optimized geometry

Summary:
The total magnetization is 0.33 μB per atom. For the calculated total energy, the calculation gives -9.0252 eV/atom. The calculation puts the density of states at the Fermi level at 49.18 states/eV per cell.

abc: 11.1320 11.1320 11.1320
angles: 90.00 90.00 90.00
Space group Fd-3m (No. 227, origin choice 2)
One atom of each set of equivalent atoms:
1 Rb 0.1250 0.1250 0.1250 (multiplicity 8)
2 Np 0.0000 0.0000 0.5000 (multiplicity 16)
3 O 0.0663 0.3750 0.8750 (multiplicity 48)